(a)
Material: BaTi3Fe
Method: DFT, PBE-GGA
State: optimized geometry

The calculated volume comes out at 108 Å³ per cell. The density of states at the Fermi level is 2.09 states/eV/atom.

The space group is Pm-3m (No. 221) and the conventional cell measures 4.7558, 4.7558 and 4.7558 Å, with angles of 90.00, 90.00 and 90.00 degrees. The inequivalent atoms are Ba at (0.0000, 0.0000, 0.0000), Ti at (0.0000, 0.5000, 0.5000) and Fe at (0.5000, 0.5000, 0.5000).

***

(b)
Material: BaTi3Fe
Method: DFT, PBE-GGA
State: optimized geometry

The calculated volume comes out at 115 Å³ per cell. The density of states at the Fermi level is 2.65 states/eV/atom.

The space group is Pm-3m (No. 221) and the conventional cell measures 4.8695, 4.8695 and 4.8695 Å, with angles of 90.00, 90.00 and 90.00 degrees. The inequivalent atoms are Ba at (0.0000, 0.0000, 0.0000), Ti at (0.0000, 0.0000, 0.5000) and Fe at (0.5000, 0.5000, 0.5000).

***

(a) is preferred energetically. Next in line: 1.952 eV/atom higher.